(1)
Zn2Te: optimized geometry, PBE.

Summary:
- V (A^3/atom) = 22.4
- crystal system = orthorhombic
- space-group type = Cmmm (65)
- energy relative to the elements, uncorrected (eV per atom) = 0.096
- DFT total energy (eV per atom) = -1.80

Cell and atoms, written as POSCAR:
```
Zn2Te
1.0
1.427 8.005 -3.479
-3.024 -8.310 -0.110
-3.477 1.246 1.442
Zn Te
4 2
direct
0.876 0.124 0.500
0.500 0.500 0.500
0.124 0.876 0.500
0.000 0.000 0.000
0.659 0.341 0.000
0.341 0.659 0.000
```

=====

(2)
CaTe2Au: optimized geometry, PBE.

Summary:
- V (A^3/atom) = 28.6
- crystal system = tetragonal
- space-group type = P4mm (99)
- energy relative to the elements, uncorrected (eV per atom) = -0.711
- DFT total energy (eV per atom) = -3.60

Cell and atoms, written as POSCAR:
```
CaTe2Au
1.0
4.314 0.000 0.000
0.000 4.314 0.000
0.000 0.000 6.141
Te Ca Au
2 1 1
direct
0.500 0.500 0.374
0.000 0.000 0.876
0.500 0.500 0.874
0.000 0.000 0.376
```

=====

(3)
La4InAg2Pt: optimized geometry, PBE.

Summary:
- V (A^3/atom) = 27.6
- crystal system = trigonal
- space-group type = R-3m (166)
- DFT total energy (eV per atom) = -4.83
- energy of formation from the pure elements (kJ per mole of atoms) = -54.0

Cell and atoms, written as POSCAR:
```
La4InAg2Pt
1.0
5.402 0.000 0.000
2.701 4.678 0.000
2.701 1.559 8.737
Ag La Pt In
2 4 1 1
direct
0.262 0.262 0.213
0.738 0.738 0.787
0.132 0.132 0.603
0.868 0.868 0.397
0.386 0.386 0.843
0.614 0.614 0.157
0.500 0.500 0.500
0.000 0.000 0.000
```

=====

(4)
Nb2VHg: optimized geometry, PBE.

Summary:
- V (A^3/atom) = 17.9
- crystal system = tetragonal
- space-group type = P4/mmm (123)
- DFT total energy (eV per atom) = -7.26
- energy of formation from the pure elements (kJ per mole of atoms) = 12.6

Cell and atoms, written as POSCAR:
```
Nb2VHg
1.0
3.245 0.000 0.000
0.000 3.245 0.000
0.000 0.000 6.788
Nb Hg V
2 1 1
direct
0.000 0.000 0.786
0.000 0.000 0.214
0.500 0.500 0.500
0.500 0.500 0.000
```

=====

(5)
Ba2IrI: optimized geometry, PBE.

Summary:
- V (A^3/atom) = 44.5
- crystal system = tetragonal
- space-group type = I-42d (122)
- energy relative to the elements, uncorrected (eV per atom) = -0.534
- DFT total energy (eV per atom) = -4.10

Cell and atoms, written as POSCAR:
```
Ba2IrI
1.0
-5.000 6.763 -0.703
-6.717 -4.779 1.808
-5.236 1.958 5.420
Ir Ba I
2 4 2
direct
0.750 0.250 0.500
0.000 0.000 0.000
0.875 0.940 0.750
0.060 0.625 0.250
0.690 0.125 0.250
0.375 0.310 0.750
0.250 0.750 0.500
0.500 0.500 0.000
```

=====

(6)
Na3In3PS8: optimized geometry, PBE.

Summary:
- V (A^3/atom) = 22.1
- crystal system = trigonal
- space-group type = R-3m (166)
- energy relative to the elements, uncorrected (eV per atom) = -0.643
- DFT total energy (eV per atom) = -4.02

Cell and atoms, written as POSCAR:
```
Na3In3PS8
1.0
7.499 0.000 0.000
-3.750 6.494 -0.023
0.000 -4.305 6.837
S Na In P
8 3 3 1
direct
0.261 0.522 0.283
0.739 0.478 0.717
0.237 0.016 0.294
0.778 0.556 0.294
0.222 0.984 0.706
0.222 0.444 0.706
0.763 0.984 0.706
0.778 0.016 0.294
0.000 0.500 0.000
0.500 0.500 0.000
0.000 0.000 0.000
0.000 0.500 0.500
0.500 0.500 0.500
0.500 0.000 0.500
0.000 0.000 0.500
```

=====

(7)
BC4: optimized geometry, PBE.

Summary:
- V (A^3/atom) = 6.1
- crystal system = orthorhombic
- space-group type = Imm2 (44)
- DFT total energy (eV per atom) = -8.43
- energy of formation from the pure elements (kJ per mole of atoms) = 27.8

Cell and atoms, written as POSCAR:
```
BC4
1.0
3.565 0.042 -5.884
-0.157 2.508 -6.404
0.025 -0.042 6.880
B C
2 8
direct
0.013 0.001 0.012
0.411 0.399 0.012
0.115 0.895 0.221
0.961 0.700 0.261
0.726 0.505 0.221
0.798 0.797 0.002
0.605 0.603 0.002
0.203 0.200 0.003
0.554 0.295 0.258
0.363 0.105 0.258
```

=====

(8)
Ac2MgAg: optimized geometry, PBE.

Summary:
- V (A^3/atom) = 36.8
- crystal system = trigonal
- space-group type = R-3m (166)
- DFT total energy (eV per atom) = -2.84
- energy of formation from the pure elements (kJ per mole of atoms) = 31.6

Cell and atoms, written as POSCAR:
```
Ac2MgAg
1.0
3.789 0.000 0.000
1.895 3.281 0.000
1.895 1.094 11.839
Ac Mg Ag
2 1 1
direct
0.912 0.912 0.265
0.088 0.088 0.735
0.500 0.500 0.500
0.000 0.000 0.000
```

=====

(9)
Tb8Dy3Ho3: optimized geometry, PBE.

Summary:
- V (A^3/atom) = 31.9
- crystal system = orthorhombic
- space-group type = Immm (71)
- DFT total energy (eV per atom) = -4.50
- energy of formation from the pure elements (kJ per mole of atoms) = 10.9

Cell and atoms, written as POSCAR:
```
Tb8Dy3Ho3
1.0
-5.566 0.385 -0.376
-3.308 -8.837 -1.683
-3.293 1.650 8.849
Tb Dy Ho
8 3 3
direct
0.658 0.564 0.119
0.342 0.436 0.881
0.160 0.444 0.237
0.342 0.881 0.436
0.160 0.237 0.444
0.840 0.556 0.763
0.840 0.763 0.556
0.658 0.119 0.564
0.000 0.181 0.819
0.000 0.819 0.181
0.500 0.000 0.000
0.799 0.202 0.202
0.201 0.798 0.798
0.500 0.500 0.500
```

=====

(10)
AgPb2Cl: optimized geometry, PBE.

Summary:
- V (A^3/atom) = 30.3
- crystal system = tetragonal
- space-group type = I-42d (122)
- energy relative to the elements, uncorrected (eV per atom) = -0.014
- DFT total energy (eV per atom) = -3.04

Cell and atoms, written as POSCAR:
```
AgPb2Cl
1.0
-3.532 -2.898 -1.969
-1.148 -1.684 4.539
-8.845 4.933 2.320
Ag Pb Cl
2 4 2
direct
0.000 0.000 0.000
0.750 0.250 0.500
0.875 0.857 0.750
0.143 0.625 0.250
0.375 0.393 0.750
0.607 0.125 0.250
0.250 0.750 0.500
0.500 0.500 0.000
```

=====

(11)
PPtPb2: optimized geometry, PBE.

Summary:
- V (A^3/atom) = 22.4
- crystal system = orthorhombic
- space-group type = Cmmm (65)
- DFT total energy (eV per atom) = -4.49
- energy of formation from the pure elements (kJ per mole of atoms) = 21.8

Cell and atoms, written as POSCAR:
```
PPtPb2
1.0
-4.663 -1.436 -0.889
0.568 -2.090 4.462
-1.250 3.071 1.598
Pb Pt P
2 1 1
direct
0.000 0.500 0.000
0.500 0.000 0.000
0.000 0.000 0.500
0.500 0.500 0.500
```

=====

(12)
K17Na11Sr: optimized geometry, PBE.

Summary:
- V (A^3/atom) = 57.3
- crystal system = monoclinic
- space-group type = Cm (8)
- DFT total energy (eV per atom) = -1.17
- energy of formation from the pure elements (kJ per mole of atoms) = 2.9

Cell and atoms, written as POSCAR:
```
K17Na11Sr
1.0
12.191 -0.009 -4.270
-6.021 10.601 -4.270
0.002 0.004 12.850
Na K Sr
11 17 1
direct
0.176 0.821 0.175
0.817 0.998 0.640
0.172 0.172 0.812
0.358 0.170 0.368
0.819 0.640 0.996
0.638 0.998 0.819
0.170 0.358 0.368
0.998 0.817 0.640
0.821 0.176 0.175
0.998 0.638 0.819
0.640 0.819 0.996
0.697 0.697 0.284
0.003 0.310 0.603
0.682 0.279 0.683
0.344 0.993 0.994
0.599 0.006 0.310
0.993 0.344 0.994
0.006 0.599 0.310
0.315 0.602 0.004
0.994 0.994 0.993
0.279 0.682 0.683
0.407 0.407 0.726
0.411 0.740 0.413
0.003 0.003 0.344
0.645 0.645 0.642
0.602 0.315 0.004
0.310 0.003 0.603
0.740 0.411 0.413
0.365 0.365 0.190
```

=====

- DFT total energy of number 9 (Tb8Dy3Ho3)?
  -4.50 eV per atom

=====

- Which value of V does entry 5 give?
  44.5 A^3/atom